Below is a crystal of Ta2TlOs relaxed with PBEsol, with properties calculated at the meta-GGA SCAN level.

abc: 4.631 4.631 4.631
angles: 60.00 60.00 60.00
Fractional coordinates of all 4 atoms:
Tl1 0.500 0.500 0.500
Ta1 0.750 0.750 0.750
Ta2 0.250 0.250 0.250
Os1 0.000 0.000 0.000

Spin magnetization (Bohr magnetons per cell): 0.000
Energy of formation from the pure elements (kJ per mole of atoms): 52.44